Record 1
A plane-wave DFT calculation with PBE was carried out for a relaxed TcPtSe2N crystal.

a = 4.9704 Å, b = 3.6588 Å, c = 4.9704 Å
α = 90.00°, β = 90.00°, γ = 90.00°
Closest atoms and distances in Å follow each position.
Fractional coordinates of all 5 atoms:
Se 0.0000 0.0000 0.5000  2 Tc 2.49
Se 0.5000 0.0000 0.0000  2 Tc 2.49
Tc 0.0000 0.0000 0.0000  2 N 1.83
Pt 0.5000 0.5000 0.5000  8 Se 3.09
N 0.0000 0.5000 0.0000  2 Tc 1.83

Record 2
A plane-wave DFT calculation with PBE was carried out for a relaxed TcPtSeN2 crystal.

a = 3.7625 Å, b = 3.7625 Å, c = 5.6330 Å
α = 90.00°, β = 90.00°, γ = 90.00°
Closest atoms and distances in Å follow each position.
Fractional coordinates of all 5 atoms:
Se 0.0000 0.0000 0.5000  4 Pt 2.66, 2 Tc 2.82
Tc 0.0000 0.0000 0.0000  4 N 1.88
Pt 0.5000 0.5000 0.5000  4 Se 2.66
N 0.0000 0.5000 0.0000  2 Tc 1.88
N 0.5000 0.0000 0.0000  2 Tc 1.88

Calculated energy relative to the lowest polymorph listed for this composition in order - 0.0 0.0 meV/atom